# HfZr2CdSn

HfZr2CdSn after structural relaxation (PBE-GGA, the Alexandria database).

Lattice parameters (Å, degrees): 5.169 5.420 5.169 90.00 90.00 90.00
Positions (direct):
Hf 0.000 0.000 0.000
Sn 0.000 0.500 0.000
Zr 0.000 0.000 0.500
Zr 0.500 0.000 0.000
Cd 0.500 0.500 0.500

Computed properties:
DFT formation energy	807	meV per atom
space group	P4/mmm, No. 123
total magnetization	0.0	μB per cell
D(E_F)	0.696	states/eV per atom

---

# TbPr6Dy3

TbPr6Dy3 after structural relaxation (PBE-GGA, the Alexandria database).

Lattice parameters (Å, degrees): 6.451 11.178 11.178 120.93 90.00 90.00
Positions (direct):
Tb 0.110 0.193 0.807
Tb 0.610 0.807 0.193
Pr 0.050 0.711 0.629
Pr 0.550 0.629 0.711
Pr 0.364 0.521 0.940
Pr 0.864 0.940 0.521
Pr 0.376 0.965 0.035
Pr 0.655 0.281 0.719
Pr 0.155 0.719 0.281
Pr 0.876 0.035 0.965
Pr 0.364 0.060 0.479
Pr 0.864 0.479 0.060
Pr 0.050 0.371 0.289
Pr 0.550 0.289 0.371
Dy 0.465 0.945 0.713
Dy 0.965 0.713 0.945
Dy 0.085 0.385 0.615
Dy 0.585 0.615 0.385
Dy 0.965 0.055 0.287
Dy 0.465 0.287 0.055

Computed properties:
DFT formation energy	139	meV per atom
excess energy over the best structure of this formula in the dataset	0.015	eV per atom
space group	Cmc2_1, No. 36
total magnetization	0.0	μB per cell
D(E_F)	1.380	states/eV per atom

---

# Nd2SmHo3Te6

Nd2SmHo3Te6 after structural relaxation (PBE-GGA, the Alexandria database).

Lattice parameters (Å, degrees): 4.360 8.919 9.906 104.37 102.71 90.00
Positions (direct):
Nd 0.833 0.665 0.665
Nd 0.167 0.335 0.335
Sm 0.500 0.000 0.000
Ho 0.500 0.500 0.000
Ho 0.832 0.166 0.664
Ho 0.168 0.834 0.336
Te 0.332 0.925 0.664
Te 0.663 0.592 0.326
Te 0.668 0.075 0.336
Te 0.997 0.255 0.993
Te 0.003 0.745 0.007
Te 0.337 0.408 0.674

Computed properties:
space group	C2/m, No. 12
formation energy (no corrections)	-1.3323	eV/atom
total magnetization	0.0	μB per cell
D(E_F)	0.495	states/eV per atom

---

# NaTl5Bi3

NaTl5Bi3 after structural relaxation (PBE-GGA, the Alexandria database).

Lattice parameters (Å, degrees): 6.785 9.810 9.810 120.00 90.00 90.00
Positions (direct):
Na 0.000 0.000 0.000
Na 0.500 0.000 0.000
Tl 0.000 0.667 0.333
Tl 0.500 0.333 0.667
Tl 0.000 0.333 0.667
Tl 0.500 0.667 0.333
Tl 0.750 0.673 0.673
Tl 0.750 0.000 0.327
Tl 0.750 0.327 0.000
Tl 0.250 0.327 0.327
Tl 0.250 0.000 0.673
Tl 0.250 0.673 0.000
Bi 0.750 0.334 0.334
Bi 0.750 0.000 0.666
Bi 0.750 0.666 0.000
Bi 0.250 0.666 0.666
Bi 0.250 0.000 0.334
Bi 0.250 0.334 0.000

Computed properties:
DFT formation energy	-33	meV per atom
space group	P6_3/mcm, No. 193
total magnetization	0.0	μB per cell
D(E_F)	0.645	states/eV per atom

---

# ScPaTe2

ScPaTe2 after structural relaxation (PBE-GGA, the Alexandria database).

Lattice parameters (Å, degrees): 3.844 3.844 10.204 79.14 79.14 60.00
Each line ends with the local moment (μB).
Positions (direct):
Sc 0.000 0.000 0.000  0.00
Pa 0.500 0.500 0.500  0.77
Te 0.095 0.095 0.715  -0.02
Te 0.905 0.905 0.285  -0.02

Computed properties:
excess energy over the best structure of this formula in the dataset	0.448	eV per atom
space group	R-3m, No. 166
formation energy (no corrections)	-0.4022	eV/atom
total magnetization	1.0	μB per cell
D(E_F)	1.321	states/eV per atom

---

# Li2Tl2Te

Li2Tl2Te after structural relaxation (PBE-GGA, the Alexandria database).

Lattice parameters (Å, degrees): 7.328 7.328 4.807 90.00 90.00 90.00
Positions (direct):
Tl 0.163 0.663 0.500
Tl 0.663 0.837 0.500
Tl 0.837 0.337 0.500
Tl 0.337 0.163 0.500
Te 0.000 0.000 0.000
Te 0.500 0.500 0.000
Li 0.345 0.845 0.000
Li 0.845 0.655 0.000
Li 0.655 0.155 0.000
Li 0.155 0.345 0.000

Computed properties:
excess energy over the best structure of this formula in the dataset	0.000	eV per atom
space group	P4/mbm, No. 127
formation energy (no corrections)	-0.3601	eV/atom
total magnetization	0.0	μB per cell
D(E_F)	0.322	states/eV per atom

---

# Dy3Si6Pd2Au

Dy3Si6Pd2Au after structural relaxation (PBE-GGA, the Alexandria database).

Lattice parameters (Å, degrees): 5.630 5.630 8.263 90.00 90.00 120.00
Positions (direct):
Dy 0.333 0.667 0.597
Dy 0.667 0.333 0.403
Dy 0.000 0.000 0.000
Si 0.623 0.812 0.269
Si 0.188 0.377 0.269
Si 0.188 0.812 0.269
Si 0.812 0.623 0.731
Si 0.377 0.188 0.731
Si 0.812 0.188 0.731
Pd 0.667 0.333 0.983
Pd 0.333 0.667 0.017
Au 0.000 0.000 0.500

Computed properties:
space group	P-3m1, No. 164
formation energy (no corrections)	-0.4171	eV/atom
total magnetization	0.0	μB per cell
D(E_F)	0.376	states/eV per atom

---

# Mn2FeTc

Mn2FeTc after structural relaxation (PBE-GGA, the Alexandria database).

Lattice parameters (Å, degrees): 4.470 4.470 2.590 90.00 90.00 109.16
Each line ends with the local moment (μB).
Positions (direct):
Fe 0.000 0.500 0.500  -1.99
Mn 0.000 0.000 0.000  1.65
Mn 0.500 0.500 0.000  1.65
Tc 0.500 0.000 0.500  -0.35

Computed properties:
DFT formation energy	100	meV per atom
space group	Cmmm, No. 65
total magnetization	1.0	μB per cell
D(E_F)	0.889	states/eV per atom